Rb2CrCdSn: optimized geometry, PBE.

Cell lengths 6.900, 6.900, 5.395 Å; angles 90.00, 90.00, 90.00 degrees
Positions (direct):
Rb 0.000 0.500 0.000
Rb 0.500 0.000 0.000
Cr 0.000 0.000 0.500
Cd 0.500 0.500 0.000
Sn 0.500 0.500 0.500

Calculated values
Symmetry   P4/mmm (123)
Total magnetization   5.4 μB per formula unit
N(E_F)   2.80 states/eV/f.u.
Energy relative to the elements   16.20 kcal/mol of atoms